Computed, not measured: a relaxed DyVAgF6 crystal at the PBE with a Hubbard U level of DFT.

As for the total energy: -5.82 eV/atom. The value obtained for the calculated density is 5.01 g/cm³.

It has space group P4_2nm (No. 102), with a = 5.2613 Å, b = 5.2613 Å, c = 10.4273 Å, α = 90.00°, β = 90.00° and γ = 90.00°. The inequivalent atoms are Dy at (0.0000, 0.0000, 0.0000), V at (0.0000, 0.0000, 0.3375), Ag at (0.0000, 0.0000, 0.6699), F at (0.1755, 0.1755, 0.1726), F at (0.2061, 0.2061, 0.4802) and F at (0.2159, 0.2159, 0.8569).